The following is a DFT calculation (PBE) of a geometry-optimized Na3In12Hg structure.

Cell: 4.7202 4.7202 18.8428 Å, 90.00 90.00 90.00°
Fractional coordinates of all 16 atoms:
In1 0.5000 0.5000 0.2523
In2 0.0000 0.5000 0.3754
In3 0.0000 0.5000 0.1256
In4 0.0000 0.5000 0.8744
In5 0.5000 0.5000 0.5000
Hg1 0.0000 0.0000 0.0000
In6 0.0000 0.5000 0.6246
In7 0.5000 0.0000 0.8744
Na1 0.0000 0.0000 0.5000
Na2 0.0000 0.0000 0.2517
In8 0.5000 0.0000 0.6246
In9 0.5000 0.0000 0.3754
Na3 0.0000 0.0000 0.7483
In10 0.5000 0.5000 0.7477
In11 0.5000 0.0000 0.1256
In12 0.5000 0.5000 0.0000

Results
Spin magnetization (μB/atom): 0.000
Space-group type: No. 123
ΔE_f (eV/atom): -0.058
Volume (Å³/atom): 26.2
ρ (Mg/m³): 6.52